VASP calculation (PBE) on an optimized crystal structure of TaNbSe2Br.

It has space group P4/mmm (No. 123), with a = 5.066 Å, b = 5.066 Å, c = 4.995 Å, α = 90.00°, β = 90.00° and γ = 90.00°. The inequivalent atoms are Ta at (0.000, 0.000, 0.000), Nb at (0.500, 0.500, 0.500), Se at (0.000, 0.500, 0.500) and Br at (0.500, 0.500, 0.000).

The value obtained for the formation energy without anion corrections is 750 meV per atom. Its energy above the lowest structure with this stoichiometry is 229 meV per atom.

***

VASP calculation (PBE) on an optimized crystal structure of La2Dy2In3.

It has space group P-1 (No. 2), with a = 3.912 Å, b = 6.248 Å, c = 8.719 Å, α = 91.29°, β = 90.02° and γ = 108.24°. The inequivalent atoms are La at (0.216, 0.433, 0.156), Dy at (0.054, 0.109, 0.699), In at (0.343, 0.685, 0.548) and In at (0.500, 0.000, 0.000).

The value obtained for the formation energy is -0.369 eV/atom. Its energy above the lowest structure with this stoichiometry is 0 meV per atom.

***

VASP calculation (PBE) on an optimized crystal structure of Ba3PmHf2O9.

It has space group P-3m1 (No. 164), with a = 6.1135 Å, b = 6.1135 Å, c = 7.5353 Å, α = 90.00°, β = 90.00° and γ = 120.00°. The inequivalent atoms are Ba at (0.0000, 0.0000, 0.0000), Ba at (0.3333, 0.6667, 0.6708), Pm at (0.0000, 0.0000, 0.5000), Hf at (0.3333, 0.6667, 0.1596), O at (0.0000, 0.5000, 0.0000) and O at (0.1752, 0.3503, 0.3174).

The value obtained for the formation energy without anion corrections is -3103 meV per atom.

***

VASP calculation (PBE) on an optimized crystal structure of Eu2GdGa.

It has space group P4/mmm (No. 123), with a = 4.790 Å, b = 4.790 Å, c = 5.124 Å, α = 90.00°, β = 90.00° and γ = 90.00°. The inequivalent atoms are Eu at (0.000, 0.500, 0.000), Gd at (0.000, 0.000, 0.500) and Ga at (0.500, 0.500, 0.500).

The value obtained for the formation energy is -0.139 eV/atom. Its energy above the lowest structure with this stoichiometry is 0 meV per atom.

***

VASP calculation (PBE) on an optimized crystal structure of Li2CrOs.

It has space group Pmmm (No. 47), with a = 2.472 Å, b = 4.476 Å, c = 4.797 Å, α = 90.00°, β = 90.00° and γ = 90.00°. The inequivalent atoms are Li at (0.000, 0.000, 0.243), Cr at (0.500, 0.500, 0.500) and Os at (0.500, 0.500, 0.000).

The value obtained for the formation energy is 0.378 eV/atom. Its energy above the lowest structure with this stoichiometry is 135 meV per atom.

***

VASP calculation (PBE) on an optimized crystal structure of Zr3Zn7Au2.

It has space group R-3m (No. 166, hexagonal axes), with a = 5.2408 Å, b = 5.2408 Å, c = 25.9219 Å, α = 90.00°, β = 90.00° and γ = 120.00°. The inequivalent atoms are Zr at (0.0000, 0.0000, 0.0000), Zr at (0.0000, 0.0000, 0.1451), Zn at (0.0000, 0.0000, 0.5000), Zn at (0.0075, 0.5037, 0.9130) and Au at (0.0000, 0.0000, 0.3355).

The value obtained for the formation energy is -0.291 eV/atom.